1.
# CaHf2Ir3

An optimized crystal structure of CaHf2Ir3 (GGA-PBE, Alexandria via LeMat-Bulk).

Summary:
Formation energy from the elements   -806 meV per atom

CIF file:
```
data_CaHf2Ir3
_chemical_formula_sum 'Ca1 Hf2 Ir3'
_cell_length_a 3.2319
_cell_length_b 3.2319
_cell_length_c 10.7299
_cell_angle_alpha 90.00
_cell_angle_beta 90.00
_cell_angle_gamma 90.00
_symmetry_space_group_name_H-M 'P 4/m m m'
_symmetry_Int_Tables_number 123
_symmetry_space_group_name_Hall '-P 4 2'
loop_
_atom_site_label
_atom_site_type_symbol
_atom_site_fract_x
_atom_site_fract_y
_atom_site_fract_z
_atom_site_occupancy
Ca1 Ca 0.0000 0.0000 0.0000 1
Hf1 Hf 0.0000 0.0000 0.3392 1
Ir1 Ir 0.5000 0.5000 0.1998 1
Ir2 Ir 0.5000 0.5000 0.5000 1
```


2.
# Ca3Pb

An optimized crystal structure of Ca3Pb (GGA-PBE, Alexandria via LeMat-Bulk).

Summary:
Formation energy from the elements   -264 meV per atom

CIF file:
```
data_Ca3Pb
_chemical_formula_sum 'Ca6 Pb2'
_cell_length_a 3.8416
_cell_length_b 5.8923
_cell_length_c 12.5650
_cell_angle_alpha 90.00
_cell_angle_beta 90.00
_cell_angle_gamma 90.00
_symmetry_space_group_name_H-M 'I m m m'
_symmetry_Int_Tables_number 71
_symmetry_space_group_name_Hall '-I 2 2'
loop_
_atom_site_label
_atom_site_type_symbol
_atom_site_fract_x
_atom_site_fract_y
_atom_site_fract_z
_atom_site_occupancy
Ca1 Ca 0.0000 0.0000 0.0000 1
Ca2 Ca 0.0000 0.5000 0.2129 1
Pb1 Pb 0.0000 0.0000 0.5000 1
```


3.
# Tl3BiAu6

An optimized crystal structure of Tl3BiAu6 (GGA-PBE, Alexandria via LeMat-Bulk).

Summary:
Formation energy from the elements   26 meV per atom

CIF file:
```
data_Tl3BiAu6
_chemical_formula_sum 'Tl12 Bi4 Au24'
_cell_length_a 7.4976
_cell_length_b 15.9921
_cell_length_c 7.8199
_cell_angle_alpha 90.00
_cell_angle_beta 90.00
_cell_angle_gamma 90.00
_symmetry_space_group_name_H-M 'C m c 21'
_symmetry_Int_Tables_number 36
_symmetry_space_group_name_Hall 'C 2c -2'
loop_
_atom_site_label
_atom_site_type_symbol
_atom_site_fract_x
_atom_site_fract_y
_atom_site_fract_z
_atom_site_occupancy
Tl1 Tl 0.0000 0.0441 0.0000 1
Tl2 Tl 0.2435 0.3819 0.8353 1
Bi1 Bi 0.0000 0.2717 0.1290 1
Au1 Au 0.0000 0.1926 0.7209 1
Au2 Au 0.0000 0.4577 0.5258 1
Au3 Au 0.1888 0.3006 0.4757 1
Au4 Au 0.2130 0.4317 0.2162 1
```


4.
# Mn3Al2

An optimized crystal structure of Mn3Al2 (GGA-PBE, Alexandria via LeMat-Bulk).

Summary:
Formation energy from the elements   -72 meV per atom

CIF file:
```
data_Mn3Al2
_chemical_formula_sum 'Mn24 Al16'
_cell_length_a 8.8166
_cell_length_b 12.4177
_cell_length_c 4.7159
_cell_angle_alpha 90.00
_cell_angle_beta 90.00
_cell_angle_gamma 90.00
_symmetry_space_group_name_H-M 'F d d 2'
_symmetry_Int_Tables_number 43
_symmetry_space_group_name_Hall 'F 2 -2d'
loop_
_atom_site_label
_atom_site_type_symbol
_atom_site_fract_x
_atom_site_fract_y
_atom_site_fract_z
_atom_site_occupancy
Mn1 Mn 0.0000 0.0000 0.0000 1
Mn2 Mn 0.0475 0.3983 0.0597 1
Al1 Al 0.0368 0.3016 0.5794 1
```


5.
# CePmDy2

An optimized crystal structure of CePmDy2 (GGA-PBE, Alexandria via LeMat-Bulk).

Summary:
Formation energy from the elements   67 meV per atom
Energy above the most stable polymorph in this dataset   0.0163 eV/atom

CIF file:
```
data_CePmDy2
_chemical_formula_sum 'Ce2 Pm2 Dy4'
_cell_length_a 3.4842
_cell_length_b 6.7530
_cell_length_c 11.0734
_cell_angle_alpha 90.09
_cell_angle_beta 90.06
_cell_angle_gamma 104.92
_symmetry_space_group_name_H-M 'P -1'
_symmetry_Int_Tables_number 2
_symmetry_space_group_name_Hall '-P 1'
loop_
_atom_site_label
_atom_site_type_symbol
_atom_site_fract_x
_atom_site_fract_y
_atom_site_fract_z
_atom_site_occupancy
Ce1 Ce 0.1078 0.2158 0.4935 1
Pm1 Pm 0.1327 0.2652 0.0154 1
Dy1 Dy 0.2558 0.5108 0.7384 1
Dy2 Dy 0.4807 0.9621 0.2485 1
```


6.
# CoOs2

An optimized crystal structure of CoOs2 (GGA-PBE, Alexandria via LeMat-Bulk).

Summary:
Formation energy from the elements   610 meV per atom
Energy above the most stable polymorph in this dataset   0.5685 eV/atom

CIF file:
```
data_CoOs2
_chemical_formula_sum 'Co4 Os8'
_cell_length_a 2.6339
_cell_length_b 3.6968
_cell_length_c 17.9764
_cell_angle_alpha 90.00
_cell_angle_beta 90.00
_cell_angle_gamma 90.00
_symmetry_space_group_name_H-M 'I m m a'
_symmetry_Int_Tables_number 74
_symmetry_space_group_name_Hall '-I 2b 2'
loop_
_atom_site_label
_atom_site_type_symbol
_atom_site_fract_x
_atom_site_fract_y
_atom_site_fract_z
_atom_site_occupancy
Co1 Co 0.0000 0.2500 0.1291 1
Os1 Os 0.0000 0.2500 0.5434 1
Os2 Os 0.0000 0.2500 0.6889 1
```


Repeat the second record exactly.
# Ca3Pb

An optimized crystal structure of Ca3Pb (GGA-PBE, Alexandria via LeMat-Bulk).

Summary:
Formation energy from the elements   -264 meV per atom

CIF file:
```
data_Ca3Pb
_chemical_formula_sum 'Ca6 Pb2'
_cell_length_a 3.8416
_cell_length_b 5.8923
_cell_length_c 12.5650
_cell_angle_alpha 90.00
_cell_angle_beta 90.00
_cell_angle_gamma 90.00
_symmetry_space_group_name_H-M 'I m m m'
_symmetry_Int_Tables_number 71
_symmetry_space_group_name_Hall '-I 2 2'
loop_
_atom_site_label
_atom_site_type_symbol
_atom_site_fract_x
_atom_site_fract_y
_atom_site_fract_z
_atom_site_occupancy
Ca1 Ca 0.0000 0.0000 0.0000 1
Ca2 Ca 0.0000 0.5000 0.2129 1
Pb1 Pb 0.0000 0.0000 0.5000 1
```


Look up the formation energy from the elements of the fourth one. -72 meV per atom


Copy entry 5 word for word.
# CePmDy2

An optimized crystal structure of CePmDy2 (GGA-PBE, Alexandria via LeMat-Bulk).

Summary:
Formation energy from the elements   67 meV per atom
Energy above the most stable polymorph in this dataset   0.0163 eV/atom

CIF file:
```
data_CePmDy2
_chemical_formula_sum 'Ce2 Pm2 Dy4'
_cell_length_a 3.4842
_cell_length_b 6.7530
_cell_length_c 11.0734
_cell_angle_alpha 90.09
_cell_angle_beta 90.06
_cell_angle_gamma 104.92
_symmetry_space_group_name_H-M 'P -1'
_symmetry_Int_Tables_number 2
_symmetry_space_group_name_Hall '-P 1'
loop_
_atom_site_label
_atom_site_type_symbol
_atom_site_fract_x
_atom_site_fract_y
_atom_site_fract_z
_atom_site_occupancy
Ce1 Ce 0.1078 0.2158 0.4935 1
Pm1 Pm 0.1327 0.2652 0.0154 1
Dy1 Dy 0.2558 0.5108 0.7384 1
Dy2 Dy 0.4807 0.9621 0.2485 1
```


Repeat the sixth record exactly.
# CoOs2

An optimized crystal structure of CoOs2 (GGA-PBE, Alexandria via LeMat-Bulk).

Summary:
Formation energy from the elements   610 meV per atom
Energy above the most stable polymorph in this dataset   0.5685 eV/atom

CIF file:
```
data_CoOs2
_chemical_formula_sum 'Co4 Os8'
_cell_length_a 2.6339
_cell_length_b 3.6968
_cell_length_c 17.9764
_cell_angle_alpha 90.00
_cell_angle_beta 90.00
_cell_angle_gamma 90.00
_symmetry_space_group_name_H-M 'I m m a'
_symmetry_Int_Tables_number 74
_symmetry_space_group_name_Hall '-I 2b 2'
loop_
_atom_site_label
_atom_site_type_symbol
_atom_site_fract_x
_atom_site_fract_y
_atom_site_fract_z
_atom_site_occupancy
Co1 Co 0.0000 0.2500 0.1291 1
Os1 Os 0.0000 0.2500 0.5434 1
Os2 Os 0.0000 0.2500 0.6889 1
```